1.
A relaxed MnSn3Pb crystal. Source: Alexandria, functional PBE.

The structure in POSCAR format:
```
MnSn3Pb
1.0
5.123 0.000 0.000
0.000 5.123 0.000
0.000 0.000 5.123
Mn Sn Pb
1 3 1
Direct
0.000 0.000 0.000
0.000 0.000 0.500
0.000 0.500 0.000
0.500 0.000 0.000
0.500 0.500 0.500
```

Output
energy of formation = 0.2037 eV/atom
DOS(E_F) = 2.7 states/eV per cell
DFT total energy = -4.77 eV/atom
calculated density = 7.63 g/cm³
total magnetic moment = 2.86 Bohr magnetons per cell

***

2.
A relaxed SrMn2Pb crystal. Source: Alexandria, functional PBE.

The structure in POSCAR format:
```
SrMn2Pb
1.0
2.299 1.328 5.854
-2.299 1.328 5.854
0.000 -2.655 5.854
Sr Mn Pb
1 2 1
Direct
0.000 0.000 0.000
0.201 0.201 0.201
0.531 0.531 0.531
0.801 0.801 0.801
```

Output
energy of formation = 0.3153 eV/atom
DOS(E_F) = 4.4 states/eV per cell
DFT total energy = -5.62 eV/atom
calculated density = 6.27 g/cm³
total magnetic moment = 7.02 Bohr magnetons per cell

***

3.
A relaxed SrMn2Pb crystal. Source: Alexandria, functional PBE.

The structure in POSCAR format:
```
SrMn2Pb
1.0
0.000 3.658 3.658
3.658 0.000 3.658
3.658 3.658 0.000
Sr Mn Pb
1 2 1
Direct
0.000 0.000 0.000
0.500 0.500 0.500
0.750 0.750 0.750
0.250 0.250 0.250
```

Output
energy of formation = 0.4885 eV/atom
DOS(E_F) = 4.9 states/eV per cell
DFT total energy = -5.44 eV/atom
calculated density = 6.87 g/cm³
total magnetic moment = 8.28 Bohr magnetons per cell

***

4.
A relaxed SrMn2Pb crystal. Source: Alexandria, functional PBE.

The structure in POSCAR format:
```
SrMn2Pb
1.0
3.795 0.000 0.000
0.000 3.795 0.000
0.000 0.000 7.139
Sr Mn Pb
1 2 1
Direct
0.000 0.000 0.000
0.500 0.500 0.315
0.500 0.500 0.685
0.000 0.000 0.500
```

Output
energy of formation = 0.5009 eV/atom
DOS(E_F) = 5.3 states/eV per cell
DFT total energy = -5.43 eV/atom
calculated density = 6.53 g/cm³
total magnetic moment = 7.67 Bohr magnetons per cell

***

5.
A relaxed SrMn2Pb crystal. Source: Alexandria, functional PBE.

The structure in POSCAR format:
```
SrMn2Pb
1.0
1.714 0.990 10.089
-1.714 0.990 10.089
0.000 -1.979 10.089
Sr Mn Pb
1 2 1
Direct
0.000 0.000 0.000
0.244 0.244 0.244
0.756 0.756 0.756
0.500 0.500 0.500
```

Output
energy of formation = 0.7404 eV/atom
DOS(E_F) = 3.5 states/eV per cell
DFT total energy = -5.19 eV/atom
calculated density = 6.54 g/cm³
total magnetic moment = 7.79 Bohr magnetons per cell

***

6.
A relaxed Sr2Mn2Pb crystal. Source: Alexandria, functional PBE.

The structure in POSCAR format:
```
Sr2Mn2Pb
1.0
-2.534 2.534 6.320
2.534 -2.534 6.320
2.534 2.534 -6.320
Sr Mn Pb
2 2 1
Direct
0.250 0.750 0.500
0.750 0.250 0.500
0.093 0.093 0.000
0.907 0.907 0.000
0.500 0.500 0.000
```

Output
energy of formation = 0.7397 eV/atom
DOS(E_F) = 7.8 states/eV per cell
DFT total energy = -4.34 eV/atom
calculated density = 5.04 g/cm³
total magnetic moment = 8.21 Bohr magnetons per cell

***

Q: total magnetic moment of number 3 (SrMn2Pb)?
A: 8.28 Bohr magnetons per cell

***

Please write out number 1 again, unchanged.
A relaxed MnSn3Pb crystal. Source: Alexandria, functional PBE.

The structure in POSCAR format:
```
MnSn3Pb
1.0
5.123 0.000 0.000
0.000 5.123 0.000
0.000 0.000 5.123
Mn Sn Pb
1 3 1
Direct
0.000 0.000 0.000
0.000 0.000 0.500
0.000 0.500 0.000
0.500 0.000 0.000
0.500 0.500 0.500
```

Output
energy of formation = 0.2037 eV/atom
DOS(E_F) = 2.7 states/eV per cell
DFT total energy = -4.77 eV/atom
calculated density = 7.63 g/cm³
total magnetic moment = 2.86 Bohr magnetons per cell

***

Q: What is the calculated density in the fifth record?
A: 6.54 g/cm³

***

Q: Which of these has the highest total magnetic moment?
A: number 3